No. 1
The following is a DFT calculation (GGA-PBE) of a geometry-optimized TmTeAuO structure.

Calculated values
- distance to the lowest polymorph of the same formula (eV/atom) = 0.002
- space-group type = Pcca
- calculated density (Mg/m³) = 10.37

a = 5.6427 Å, b = 5.6249 Å, c = 10.2822 Å
α = 90.00°, β = 90.00°, γ = 90.00°
With the nearest neighbours (Å) after each atom.
Fractional positions:
Te 0.0000 0.5000 0.2746  2 Au 2.71
Te 0.5000 0.5000 0.7254  2 Au 2.72
Te 0.0000 0.0000 0.7254  2 Au 2.72
Te 0.5000 0.0000 0.2746  2 Au 2.71
Au 0.9756 0.2498 0.4998  2 Te 2.71-2.72, 4 Au 2.82-2.83
Au 0.5244 0.7498 0.4998  2 Te 2.71-2.72, 4 Au 2.82-2.83
Au 0.4756 0.2502 0.4998  2 Te 2.71-2.72, 4 Au 2.82-2.83
Au 0.0244 0.7502 0.4998  2 Te 2.71-2.72, 4 Au 2.82-2.83
O 0.2501 0.7499 0.0001  4 Tm 2.24-2.25
O 0.2499 0.2499 0.0001  4 Tm 2.24-2.25
O 0.7501 0.7501 0.0001  4 Tm 2.24-2.25
O 0.7499 0.2501 0.0001  4 Tm 2.24-2.25
Tm 0.5000 0.5000 0.1009  4 O 2.24-2.25
Tm 0.0000 0.5000 0.8992  4 O 2.25
Tm 0.5000 0.0000 0.8992  4 O 2.25
Tm 0.0000 0.0000 0.1009  4 O 2.24-2.25

---

No. 2
The following is a DFT calculation (GGA-PBE) of a geometry-optimized TmTeAuO structure.

Calculated values
- distance to the lowest polymorph of the same formula (eV/atom) = 0.041
- space-group type = P4/nmm
- calculated density (Mg/m³) = 10.70

a = 3.9839 Å, b = 3.9839 Å, c = 9.9618 Å
α = 90.00°, β = 90.00°, γ = 90.00°
With the nearest neighbours (Å) after each atom.
Fractional positions:
O 0.2500 0.7500 0.0000  4 Tm 2.25
O 0.7500 0.2500 0.0000  4 Tm 2.25
Au 0.7500 0.2500 0.5000  4 Au 2.82, 4 Te 2.95
Au 0.2500 0.7500 0.5000  4 Au 2.82, 4 Te 2.95
Tm 0.2500 0.2500 0.1041  4 O 2.25
Tm 0.7500 0.7500 0.8959  4 O 2.25
Te 0.7500 0.7500 0.2817  4 Au 2.95
Te 0.2500 0.2500 0.7183  4 Au 2.95

---

No. 3
The following is a DFT calculation (GGA-PBE) of a geometry-optimized Tl5Au3O2 structure.

Calculated values
- space-group type = Pbam
- E_tot (eV/atom) = -3.34
- calculated density (Mg/m³) = 10.73

a = 7.5157 Å, b = 15.4783 Å, c = 4.3745 Å
α = 90.00°, β = 90.00°, γ = 90.00°
With the nearest neighbours (Å) after each atom.
Fractional positions:
Au 0.0000 0.0000 0.0000  2 O 2.02
Au 0.5000 0.5000 0.0000  2 O 2.02
Au 0.3690 0.1241 0.5000  5 Tl 2.91-3.07
Au 0.8690 0.3759 0.5000  5 Tl 2.91-3.07
Au 0.6310 0.8759 0.5000  5 Tl 2.91-3.07
Au 0.1310 0.6241 0.5000  5 Tl 2.91-3.07
Tl 0.8736 0.8158 0.0000  1 O 2.72, 3 Au 3.00
Tl 0.7491 0.1604 0.5000  2 O 2.46
Tl 0.2509 0.8396 0.5000  2 O 2.46
Tl 0.0000 0.5000 0.0000  2 O 2.78, 4 Au 3.07
Tl 0.1264 0.1842 0.0000  1 O 2.72, 3 Au 3.00
Tl 0.6264 0.3158 0.0000  1 O 2.72, 3 Au 3.00
Tl 0.2491 0.3396 0.5000  2 O 2.46
Tl 0.7509 0.6604 0.5000  2 O 2.46
Tl 0.3736 0.6842 0.0000  1 O 2.72, 3 Au 3.00
Tl 0.5000 0.0000 0.0000  2 O 2.78, 4 Au 3.07
O 0.3143 0.4053 0.0000  1 Au 2.02
O 0.8143 0.0947 0.0000  1 Au 2.02
O 0.6857 0.5947 0.0000  1 Au 2.02
O 0.1857 0.9053 0.0000  1 Au 2.02

---

No. 4
The following is a DFT calculation (GGA-PBE) of a geometry-optimized Tl2AuO3 structure.

Calculated values
- space-group type = P6/mmm
- E_tot (eV/atom) = -3.86
- calculated density (Mg/m³) = 11.58

a = 5.9487 Å, b = 5.9487 Å, c = 3.0585 Å
α = 90.00°, β = 90.00°, γ = 120.01°
With the nearest neighbours (Å) after each atom.
Fractional positions:
Tl 0.3333 0.6667 0.5000  6 O 2.30
Tl 0.6667 0.3333 0.5000  6 O 2.30
O 0.5000 0.0000 0.0000  4 Tl 2.30
O 0.0000 0.5000 0.0000  4 Tl 2.30
O 0.5000 0.5000 0.0000  4 Tl 2.30
Au 0.0000 0.0000 0.5000  2 Au 3.06, 12 O 3.34

---

No. 5
The following is a DFT calculation (GGA-PBE) of a geometry-optimized Tl2Au2O5 structure.

Calculated values
- space-group type = P4/mmm
- E_tot (eV/atom) = -3.90
- calculated density (Mg/m³) = 10.85

a = 9.1202 Å, b = 3.8478 Å, c = 3.8478 Å
α = 90.00°, β = 90.00°, γ = 90.00°
With the nearest neighbours (Å) after each atom.
Fractional positions:
Tl 0.2602 0.5000 0.5000  5 O 2.19-2.21
Tl 0.7398 0.5000 0.5000  5 O 2.19-2.21
Au 0.0000 0.0000 0.0000  8 O 2.31
Au 0.5000 0.0000 0.0000  4 O 2.72
O 0.1401 0.5000 0.0000  2 Tl 2.21, 2 Au 2.31
O 0.5000 0.5000 0.5000  2 Tl 2.19
O 0.8599 0.0000 0.5000  2 Tl 2.21, 2 Au 2.31
O 0.8599 0.5000 0.0000  2 Tl 2.21, 2 Au 2.31
O 0.1401 0.0000 0.5000  2 Tl 2.21, 2 Au 2.31

---

No. 6
The following is a DFT calculation (GGA-PBE) of a geometry-optimized TlAuO2 structure.

Calculated values
- distance to the lowest polymorph of the same formula (eV/atom) = 0.000
- space-group type = R-3m
- calculated density (Mg/m³) = 10.78

a = 6.6266 Å, b = 6.6266 Å, c = 6.6266 Å
α = 30.58°, β = 30.58°, γ = 30.58°
With the nearest neighbours (Å) after each atom.
Fractional positions:
Tl 0.5000 0.5000 0.5000  6 O 2.30
O 0.8922 0.8922 0.8922  1 Au 2.04
O 0.1078 0.1078 0.1078  1 Au 2.04
Au 0.0000 0.0000 0.0000  2 O 2.04

---

No. 7
The following is a DFT calculation (GGA-PBE) of a geometry-optimized TlAuO2 structure.

Calculated values
- distance to the lowest polymorph of the same formula (eV/atom) = 0.083
- space-group type = Cmcm
- calculated density (Mg/m³) = 8.91

a = 6.5219 Å, b = 6.5219 Å, c = 6.1197 Å
α = 90.00°, β = 90.00°, γ = 141.64°
With the nearest neighbours (Å) after each atom.
Fractional positions:
Au 0.0030 0.9970 0.7500  4 O 2.04-2.05
Au 0.9970 0.0030 0.2500  4 O 2.04-2.05
O 0.8900 0.1100 0.9951  2 Au 2.04-2.05
O 0.1100 0.8900 0.0049  2 Au 2.04-2.05
O 0.8900 0.1100 0.5049  2 Au 2.04-2.05
O 0.1100 0.8900 0.4951  2 Au 2.04-2.05
Tl 0.7050 0.2950 0.2500  6 O 2.76-2.87
Tl 0.2950 0.7050 0.7500  6 O 2.76-2.87

---

No. 8
The following is a DFT calculation (GGA-PBE) of a geometry-optimized Tm2Au2O5 structure.

Calculated values
- distance to the lowest polymorph of the same formula (eV/atom) = 0.000
- space-group type = P4/mmm
- calculated density (Mg/m³) = 10.11

a = 8.6935 Å, b = 3.9170 Å, c = 3.9170 Å
α = 90.00°, β = 90.00°, γ = 90.00°
With the nearest neighbours (Å) after each atom.
Fractional positions:
Tm 0.2539 0.5000 0.5000  5 O 2.14-2.15
Tm 0.7461 0.5000 0.5000  5 O 2.14-2.15
O 0.8483 0.0000 0.5000  2 Tm 2.15, 2 Au 2.36
O 0.1517 0.0000 0.5000  2 Tm 2.15, 2 Au 2.36
O 0.8483 0.5000 0.0000  2 Tm 2.15, 2 Au 2.36
O 0.1517 0.5000 0.0000  2 Tm 2.15, 2 Au 2.36
O 0.5000 0.5000 0.5000  2 Tm 2.14
Au 0.5000 0.0000 0.0000  4 O 2.77
Au 0.0000 0.0000 0.0000  8 O 2.36

---

No. 9
The following is a DFT calculation (GGA-PBE) of a geometry-optimized Tm2Au2O5 structure.

Calculated values
- distance to the lowest polymorph of the same formula (eV/atom) = 0.329
- space-group type = P4/mmm
- calculated density (Mg/m³) = 11.28

a = 6.9119 Å, b = 4.1588 Å, c = 4.1588 Å
α = 90.00°, β = 90.00°, γ = 90.00°
With the nearest neighbours (Å) after each atom.
Fractional positions:
Au 0.1904 0.5000 0.5000  5 O 2.09-2.14
Au 0.8096 0.5000 0.5000  5 O 2.09-2.14
O 0.7762 0.5000 0.0000  2 Au 2.09
O 0.5000 0.5000 0.5000  2 Au 2.14
O 0.2238 0.5000 0.0000  2 Au 2.09
O 0.2238 0.0000 0.5000  2 Au 2.09
O 0.7762 0.0000 0.5000  2 Au 2.09
Tm 0.0000 0.0000 0.0000  8 O 2.59
Tm 0.5000 0.0000 0.0000  12 O 2.82-2.94

---

No. 10
The following is a DFT calculation (GGA-PBE) of a geometry-optimized Y2AuO4 structure.

Calculated values
- space-group type = Fd-3m
- E_tot (eV/atom) = -7.36
- calculated density (Mg/m³) = 6.61

a = 6.7797 Å, b = 6.7797 Å, c = 6.7797 Å
α = 119.99°, β = 90.02°, γ = 119.99°
With the nearest neighbours (Å) after each atom.
Fractional positions:
Y 0.3750 0.2500 0.6250  6 O 2.27
Y 0.3750 0.7500 0.6250  6 O 2.27
Y 0.8750 0.2500 0.6250  6 O 2.27
Y 0.3750 0.7500 0.1250  6 O 2.27
O 0.5835 0.7223 0.8612  3 Y 2.27, 1 Au 2.31
O 0.6111 0.2223 0.3888  3 Y 2.27, 1 Au 2.31
O 0.1388 0.2777 0.4165  3 Y 2.27, 1 Au 2.31
O 0.1389 0.2777 0.8612  3 Y 2.27, 1 Au 2.31
O 0.1388 0.7223 0.8611  3 Y 2.27, 1 Au 2.31
O 0.6112 0.7777 0.3889  3 Y 2.27, 1 Au 2.31
O 0.1665 0.7777 0.3888  3 Y 2.27, 1 Au 2.31
O 0.6112 0.2223 0.8335  3 Y 2.27, 1 Au 2.31
Au 0.7500 0.5000 0.2500  4 O 2.31
Au 0.0000 0.0000 0.0000  4 O 2.31

---

No. 11
The following is a DFT calculation (GGA-PBE) of a geometry-optimized Y2Au2O5 structure.

Calculated values
- distance to the lowest polymorph of the same formula (eV/atom) = 0.000
- space-group type = P4/mmm
- calculated density (Mg/m³) = 7.90

a = 8.5777 Å, b = 3.9975 Å, c = 3.9975 Å
α = 90.00°, β = 90.00°, γ = 90.00°
With the nearest neighbours (Å) after each atom.
Fractional positions:
O 0.8527 0.5000 0.0000  2 Y 2.19, 2 Au 2.36
O 0.8527 0.0000 0.5000  2 Y 2.19, 2 Au 2.36
O 0.1473 0.0000 0.5000  2 Y 2.19, 2 Au 2.36
O 0.1473 0.5000 0.0000  2 Y 2.19, 2 Au 2.36
O 0.5000 0.5000 0.5000  2 Y 2.14
Y 0.2505 0.5000 0.5000  5 O 2.14-2.19
Y 0.7495 0.5000 0.5000  5 O 2.14-2.19
Au 0.0000 0.0000 0.0000  8 O 2.36
Au 0.5000 0.0000 0.0000  4 O 2.83

---

No. 12
The following is a DFT calculation (GGA-PBE) of a geometry-optimized Y2Au2O5 structure.

Calculated values
- distance to the lowest polymorph of the same formula (eV/atom) = 0.170
- space-group type = P4/mmm
- calculated density (Mg/m³) = 8.91

a = 6.9730 Å, b = 4.1731 Å, c = 4.1731 Å
α = 90.00°, β = 90.00°, γ = 90.00°
With the nearest neighbours (Å) after each atom.
Fractional positions:
O 0.5000 0.5000 0.5000  2 Au 2.15
O 0.2249 0.0000 0.5000  2 Au 2.10
O 0.7751 0.0000 0.5000  2 Au 2.10
O 0.2249 0.5000 0.0000  2 Au 2.10
O 0.7751 0.5000 0.0000  2 Au 2.10
Au 0.1912 0.5000 0.5000  5 O 2.10-2.15
Au 0.8088 0.5000 0.5000  5 O 2.10-2.15
Y 0.0000 0.0000 0.0000  8 O 2.61
Y 0.5000 0.0000 0.0000  12 O 2.83-2.95